# Zn2AsO5

A relaxed Zn2AsO5 crystal (PBEsol, Alexandria).

Cell lengths 5.9788, 8.3825, 8.4283 Å; angles 90.00, 90.00, 90.00 degrees
Closest atoms and distances in Å follow each position.
Fractional coordinates of all 32 atoms:
Zn (0.0000, 0.8555, 0.1261)  5 O 1.92-2.02
Zn (0.0000, 0.1445, 0.8739)  5 O 1.92-2.02
Zn (0.5000, 0.6445, 0.6261)  5 O 1.92-2.02
Zn (0.5000, 0.3555, 0.3739)  5 O 1.92-2.02
Zn (0.2455, 0.5000, 0.0000)  4 O 1.93-2.01
Zn (0.2545, 0.0000, 0.5000)  4 O 1.93-2.01
Zn (0.7545, 0.5000, 0.0000)  4 O 1.93-2.01
Zn (0.7455, 0.0000, 0.5000)  4 O 1.93-2.01
As (0.5000, 0.7443, 0.2539)  4 O 1.71-1.75
As (0.5000, 0.2557, 0.7461)  4 O 1.71-1.75
As (0.0000, 0.7557, 0.7539)  4 O 1.71-1.75
As (0.0000, 0.2443, 0.2461)  4 O 1.71-1.75
O (0.5000, 0.5951, 0.3940)  1 As 1.72
O (0.5000, 0.4049, 0.6060)  1 As 1.72
O (0.0000, 0.9049, 0.8940)  1 As 1.72
O (0.0000, 0.0951, 0.1060)  1 As 1.72
O (0.5000, 0.6369, 0.0761)  1 As 1.75
O (0.5000, 0.3631, 0.9239)  1 As 1.75
O (0.0000, 0.8631, 0.5761)  1 As 1.75
O (0.0000, 0.1369, 0.4239)  1 As 1.75
O (0.2654, 0.8599, 0.2650)  1 As 1.71
O (0.2654, 0.1401, 0.7350)  1 As 1.71
O (0.2346, 0.6401, 0.7650)  1 As 1.71
O (0.2346, 0.3599, 0.2350)  1 As 1.71
O (0.7346, 0.1401, 0.7350)  1 As 1.71
O (0.7346, 0.8599, 0.2650)  1 As 1.71
O (0.7654, 0.3599, 0.2350)  1 As 1.71
O (0.7654, 0.6401, 0.7650)  1 As 1.71
O (0.0000, 0.6363, 0.0603)  3 Zn 1.92-1.93
O (0.0000, 0.3637, 0.9397)  3 Zn 1.92-1.93
O (0.5000, 0.8637, 0.5603)  3 Zn 1.92-1.93
O (0.5000, 0.1363, 0.4397)  3 Zn 1.92-1.93

Its space group is Pnnm, No. 58. The raw formation energy comes out at -9.27 eV per formula unit. Its magnetization is 0.01 μB per cell.